(1)
# Ce2EuAl, relaxed, DFT GGA-PBE
data_Ce2EuAl
_chemical_formula_sum 'Ce2 Eu1 Al1'
_space_group_name_H-M_alt 'P 4/m m m'
_space_group_IT_number 123
_space_group_name_Hall '-P 4 2'
_cell_length_a 3.964
_cell_length_b 3.964
_cell_length_c 7.668
_cell_angle_alpha 90.00
_cell_angle_beta 90.00
_cell_angle_gamma 90.00
loop_
_atom_site_label
_atom_site_type_symbol
_atom_site_fract_x
_atom_site_fract_y
_atom_site_fract_z
Ce1 Ce 0.000 0.000 0.184
Eu1 Eu 0.500 0.500 0.500
Al1 Al 0.500 0.500 0.000
# ΔE to the lowest computed polymorph: 1.25 kJ per mole of atoms
# formation energy from the elements: -3 kJ/mol of atoms
# crystal system: tetragonal

(2)
# AcGaPAu, relaxed, DFT GGA-PBE
data_AcGaPAu
_chemical_formula_sum 'Ac4 Ga4 P4 Au4'
_space_group_name_H-M_alt 'F -4 3 m'
_space_group_IT_number 216
_space_group_name_Hall 'F -4 2 3'
_cell_length_a 7.312
_cell_length_b 7.312
_cell_length_c 7.312
_cell_angle_alpha 90.00
_cell_angle_beta 90.00
_cell_angle_gamma 90.00
loop_
_atom_site_label
_atom_site_type_symbol
_atom_site_fract_x
_atom_site_fract_y
_atom_site_fract_z
Ac1 Ac 0.000 0.000 0.000
Ga1 Ga 0.000 0.000 0.500
P1 P 0.250 0.250 0.750
Au1 Au 0.250 0.250 0.250
# formation energy from the elements: -49 kJ/mol of atoms
# crystal system: cubic

(3)
# NaNbRu, relaxed, DFT GGA-PBE
data_NaNbRu
_chemical_formula_sum 'Na2 Nb2 Ru2'
_space_group_name_H-M_alt 'P -1'
_space_group_IT_number 2
_cell_length_a 2.836
_cell_length_b 5.751
_cell_length_c 8.182
_cell_angle_alpha 106.72
_cell_angle_beta 97.03
_cell_angle_gamma 104.04
loop_
_space_group_symop_operation_xyz
'x,y,z'
'-x,-y,-z'
loop_
_atom_site_label
_atom_site_type_symbol
_atom_site_fract_x
_atom_site_fract_y
_atom_site_fract_z
Na1 Na 0.184 0.307 0.114
Nb1 Nb 0.124 0.268 0.507
Ru1 Ru 0.459 0.100 0.734
# ΔE to the lowest computed polymorph: 31.38 kJ per mole of atoms
# formation energy from the elements: 36 kJ/mol of atoms
# crystal system: triclinic

(4)
# AcPu2Ga6, relaxed, DFT GGA-PBE
data_AcPu2Ga6
_chemical_formula_sum 'Ac1 Pu2 Ga6'
_space_group_name_H-M_alt 'P 6/m m m'
_space_group_IT_number 191
_space_group_name_Hall '-P 6 2'
_cell_length_a 7.4550
_cell_length_b 7.4550
_cell_length_c 4.3876
_cell_angle_alpha 90.00
_cell_angle_beta 90.00
_cell_angle_gamma 120.00
loop_
_atom_site_label
_atom_site_type_symbol
_atom_site_fract_x
_atom_site_fract_y
_atom_site_fract_z
Ac1 Ac 0.0000 0.0000 0.0000
Pu1 Pu 0.3333 0.6667 0.0000
Ga1 Ga 0.0000 0.3375 0.5000
# ΔE to the lowest computed polymorph: 0.00 kJ per mole of atoms
# formation energy from the elements: -37 kJ/mol of atoms
# crystal system: hexagonal

no.,electronic total energy (eV/atom)
1,-6.5036
2,-4.4591
3,-6.5137
4,-6.0468